1.
A plane-wave DFT calculation with PBE-GGA was carried out for TiReTc2 after structural relaxation.

Space group: Fm-3m
Energy relative to the lowest polymorph listed for this composition (meV per atom): 9
Magnetization (Bohr magnetons per cell): 0.0
D(E_F) (states/eV/cell): 2.87

The structure in CIF format:
```
data_TiReTc2
_cell_length_a 4.380
_cell_length_b 4.380
_cell_length_c 4.380
_cell_angle_alpha 60.00
_cell_angle_beta 60.00
_cell_angle_gamma 60.00
_space_group_name_H-M_alt 'P 1'
_space_group_IT_number 1
loop_
_space_group_symop_operation_xyz
'x,y,z'
loop_
_atom_site_label
_atom_site_type_symbol
_atom_site_fract_x
_atom_site_fract_y
_atom_site_fract_z
_atom_site_occupancy
Re1 Re 0.500 0.500 0.500 1
Tc1 Tc 0.250 0.250 0.250 1
Tc2 Tc 0.750 0.750 0.750 1
Ti1 Ti 0.000 0.000 0.000 1
```



2.
A plane-wave DFT calculation with PBE-GGA was carried out for SrCaZrNi2 after structural relaxation.

E (eV for the cell shown): -18.29
Space group: P4/mmm
Magnetization (Bohr magnetons per cell): 0.0
D(E_F) (states/eV/cell): 4.20

The structure in CIF format:
```
data_SrCaZrNi2
_cell_length_a 4.929
_cell_length_b 5.132
_cell_length_c 4.929
_cell_angle_alpha 90.00
_cell_angle_beta 90.00
_cell_angle_gamma 90.00
_space_group_name_H-M_alt 'P 1'
_space_group_IT_number 1
loop_
_space_group_symop_operation_xyz
'x,y,z'
loop_
_atom_site_label
_atom_site_type_symbol
_atom_site_fract_x
_atom_site_fract_y
_atom_site_fract_z
_atom_site_occupancy
Sr1 Sr 0.500 0.500 0.500 1
Ca1 Ca 0.000 0.000 0.000 1
Zr1 Zr 0.000 0.500 0.000 1
Ni1 Ni 0.000 0.000 0.500 1
Ni2 Ni 0.500 0.000 0.000 1
```



3.
A plane-wave DFT calculation with PBE-GGA was carried out for AcGdAgAu after structural relaxation.

E (eV for the cell shown): -26.33
Space group: F-43m
Magnetization (Bohr magnetons per cell): 7.2
D(E_F) (states/eV/cell): 4.62

The structure in CIF format:
```
data_AcGdAgAu
_cell_length_a 5.382
_cell_length_b 5.382
_cell_length_c 5.382
_cell_angle_alpha 60.00
_cell_angle_beta 60.00
_cell_angle_gamma 60.00
_space_group_name_H-M_alt 'P 1'
_space_group_IT_number 1
loop_
_space_group_symop_operation_xyz
'x,y,z'
loop_
_atom_site_label
_atom_site_type_symbol
_atom_site_fract_x
_atom_site_fract_y
_atom_site_fract_z
_atom_site_occupancy
Ac1 Ac 0.500 0.500 0.500 1
Gd1 Gd 0.000 0.000 0.000 1
Au1 Au 0.750 0.750 0.750 1
Ag1 Ag 0.250 0.250 0.250 1
```



4.
A plane-wave DFT calculation with PBE-GGA was carried out for SrCrAg2 after structural relaxation.

Space group: I-42d
Energy relative to the lowest polymorph listed for this composition (meV per atom): 273
Magnetization (Bohr magnetons per cell): 9.4
D(E_F) (states/eV/cell): 2.79

The structure in CIF format:
```
data_SrCrAg2
_cell_length_a 5.066
_cell_length_b 5.066
_cell_length_c 10.019
_cell_angle_alpha 75.35
_cell_angle_beta 75.35
_cell_angle_gamma 90.00
_space_group_name_H-M_alt 'P 1'
_space_group_IT_number 1
loop_
_space_group_symop_operation_xyz
'x,y,z'
loop_
_atom_site_label
_atom_site_type_symbol
_atom_site_fract_x
_atom_site_fract_y
_atom_site_fract_z
_atom_site_occupancy
Sr1 Sr 0.000 0.000 0.000 1
Sr2 Sr 0.750 0.250 0.500 1
Ag1 Ag 0.461 0.125 0.250 1
Ag2 Ag 0.289 0.625 0.250 1
Ag3 Ag 0.375 0.539 0.750 1
Ag4 Ag 0.875 0.711 0.750 1
Cr1 Cr 0.500 0.500 0.000 1
Cr2 Cr 0.250 0.750 0.500 1
```



5.
A plane-wave DFT calculation with PBE-GGA was carried out for TlGaTeIr2 after structural relaxation.

Energy relative to the elements, uncorrected (meV/atom): 1091
Space group: P4/mmm
Magnetization (Bohr magnetons per cell): 1.0
D(E_F) (states/eV/cell): 3.38

The structure in CIF format:
```
data_TlGaTeIr2
_cell_length_a 4.942
_cell_length_b 5.494
_cell_length_c 4.942
_cell_angle_alpha 90.00
_cell_angle_beta 90.00
_cell_angle_gamma 90.00
_space_group_name_H-M_alt 'P 1'
_space_group_IT_number 1
loop_
_space_group_symop_operation_xyz
'x,y,z'
loop_
_atom_site_label
_atom_site_type_symbol
_atom_site_fract_x
_atom_site_fract_y
_atom_site_fract_z
_atom_site_occupancy
Tl1 Tl 0.500 0.500 0.500 1
Ir1 Ir 0.000 0.000 0.500 1
Ir2 Ir 0.500 0.000 0.000 1
Te1 Te 0.000 0.000 0.000 1
Ga1 Ga 0.000 0.500 0.000 1
```



6.
A plane-wave DFT calculation with PBE-GGA was carried out for La2PaIn after structural relaxation.

Space group: P4/mmm
Energy relative to the lowest polymorph listed for this composition (meV per atom): 74
Magnetization (Bohr magnetons per cell): 0.8
D(E_F) (states/eV/cell): 7.69

The structure in CIF format:
```
data_La2PaIn
_cell_length_a 4.811
_cell_length_b 4.963
_cell_length_c 4.963
_cell_angle_alpha 90.00
_cell_angle_beta 90.00
_cell_angle_gamma 90.00
_space_group_name_H-M_alt 'P 1'
_space_group_IT_number 1
loop_
_space_group_symop_operation_xyz
'x,y,z'
loop_
_atom_site_label
_atom_site_type_symbol
_atom_site_fract_x
_atom_site_fract_y
_atom_site_fract_z
_atom_site_occupancy
Pa1 Pa 0.500 0.500 0.500 1
In1 In 0.500 0.000 0.000 1
La1 La 0.000 0.000 0.500 1
La2 La 0.000 0.500 0.000 1
```



7.
A plane-wave DFT calculation with PBE-GGA was carried out for MnAsS2 after structural relaxation.

Energy relative to the elements, uncorrected (meV/atom): 115
Space group: I-42d
Magnetization (Bohr magnetons per cell): 0.0
D(E_F) (states/eV/cell): 3.43

The structure in CIF format:
```
data_MnAsS2
_cell_length_a 5.767
_cell_length_b 5.767
_cell_length_c 6.194
_cell_angle_alpha 62.26
_cell_angle_beta 62.26
_cell_angle_gamma 90.00
_space_group_name_H-M_alt 'P 1'
_space_group_IT_number 1
loop_
_space_group_symop_operation_xyz
'x,y,z'
loop_
_atom_site_label
_atom_site_type_symbol
_atom_site_fract_x
_atom_site_fract_y
_atom_site_fract_z
_atom_site_occupancy
As1 As 0.000 0.000 0.000 1
As2 As 0.750 0.250 0.500 1
Mn1 Mn 0.500 0.500 0.000 1
Mn2 Mn 0.250 0.750 0.500 1
S1 S 0.560 0.125 0.250 1
S2 S 0.190 0.625 0.250 1
S3 S 0.375 0.440 0.750 1
S4 S 0.875 0.810 0.750 1
```



8.
A plane-wave DFT calculation with PBE-GGA was carried out for Pm4Pr3Dy2 after structural relaxation.

Space group: C2/m
Energy relative to the lowest polymorph listed for this composition (meV per atom): 0
Magnetization (Bohr magnetons per cell): 0.0
D(E_F) (states/eV/cell): 12.45

The structure in CIF format:
```
data_Pm4Pr3Dy2
_cell_length_a 3.649
_cell_length_b 8.176
_cell_length_c 10.928
_cell_angle_alpha 76.87
_cell_angle_beta 90.00
_cell_angle_gamma 102.90
_space_group_name_H-M_alt 'P 1'
_space_group_IT_number 1
loop_
_space_group_symop_operation_xyz
'x,y,z'
loop_
_atom_site_label
_atom_site_type_symbol
_atom_site_fract_x
_atom_site_fract_y
_atom_site_fract_z
_atom_site_occupancy
Pm1 Pm 0.667 0.335 0.111 1
Pm2 Pm 0.000 0.001 0.668 1
Pm3 Pm 0.000 0.999 0.332 1
Pm4 Pm 0.333 0.665 0.889 1
Pr1 Pr 0.333 0.666 0.556 1
Pr2 Pr 0.000 0.000 0.000 1
Pr3 Pr 0.667 0.334 0.444 1
Dy1 Dy 0.333 0.666 0.222 1
Dy2 Dy 0.667 0.334 0.778 1
```



9.
A plane-wave DFT calculation with PBE-GGA was carried out for SrVFe2Pt after structural relaxation.

E (eV for the cell shown): -21.29
Space group: P4/mmm
Magnetization (Bohr magnetons per cell): 2.1
D(E_F) (states/eV/cell): 10.53

The structure in CIF format:
```
data_SrVFe2Pt
_cell_length_a 4.373
_cell_length_b 4.608
_cell_length_c 4.373
_cell_angle_alpha 90.00
_cell_angle_beta 90.00
_cell_angle_gamma 90.00
_space_group_name_H-M_alt 'P 1'
_space_group_IT_number 1
loop_
_space_group_symop_operation_xyz
'x,y,z'
loop_
_atom_site_label
_atom_site_type_symbol
_atom_site_fract_x
_atom_site_fract_y
_atom_site_fract_z
_atom_site_occupancy
Sr1 Sr 0.000 0.000 0.000 1
Fe1 Fe 0.000 0.000 0.500 1
Fe2 Fe 0.500 0.000 0.000 1
Pt1 Pt 0.500 0.500 0.500 1
V1 V 0.000 0.500 0.000 1
```



10.
A plane-wave DFT calculation with PBE-GGA was carried out for LiCu2P after structural relaxation.

E (eV for the cell shown): -33.26
Space group: P-3m1
Magnetization (Bohr magnetons per cell): 0.0
D(E_F) (states/eV/cell): 1.10

The structure in CIF format:
```
data_LiCu2P
_cell_length_a 4.036
_cell_length_b 4.037
_cell_length_c 7.510
_cell_angle_alpha 90.00
_cell_angle_beta 90.00
_cell_angle_gamma 120.00
_space_group_name_H-M_alt 'P 1'
_space_group_IT_number 1
loop_
_space_group_symop_operation_xyz
'x,y,z'
loop_
_atom_site_label
_atom_site_type_symbol
_atom_site_fract_x
_atom_site_fract_y
_atom_site_fract_z
_atom_site_occupancy
Cu1 Cu 0.000 0.000 0.280 1
Cu2 Cu 0.000 0.000 0.720 1
Cu3 Cu 0.333 0.667 0.563 1
Cu4 Cu 0.667 0.333 0.437 1
Li1 Li 0.333 0.667 0.906 1
Li2 Li 0.667 0.333 0.094 1
P1 P 0.333 0.667 0.251 1
P2 P 0.667 0.333 0.749 1
```